# ErTm2Mg3Ir3, optimized geometry, DFT PBE-GGA
# SG = No. 38
data_ErTm2Mg3Ir3
_chemical_formula_sum 'Er1 Tm2 Mg3 Ir3'
_cell_length_a 4.034
_cell_length_b 7.194
_cell_length_c 7.194
_cell_angle_alpha 120.03
_cell_angle_beta 90.00
_cell_angle_gamma 90.00
_space_group_name_H-M_alt 'P 1'
_space_group_IT_number 1
loop_
_space_group_symop_operation_xyz
'x,y,z'
loop_
_atom_site_label
_atom_site_type_symbol
_atom_site_fract_x
_atom_site_fract_y
_atom_site_fract_z
Er1 Er 0.000 0.409 0.409
Ir1 Ir 0.500 0.667 0.333
Ir2 Ir 0.500 0.333 0.667
Ir3 Ir 0.000 0.999 0.999
Mg1 Mg 0.500 0.000 0.246
Mg2 Mg 0.500 0.754 0.754
Mg3 Mg 0.500 0.246 0.000
Tm1 Tm 0.000 0.592 0.000
Tm2 Tm 0.000 0.000 0.592

---

# NaPrInSe3, optimized geometry, DFT PBE-GGA
# SG = No. 63
data_NaPrInSe3
_chemical_formula_sum 'Na2 Pr2 In2 Se6'
_cell_length_a 7.056
_cell_length_b 7.056
_cell_length_c 11.441
_cell_angle_alpha 90.00
_cell_angle_beta 90.00
_cell_angle_gamma 140.82
_space_group_name_H-M_alt 'P 1'
_space_group_IT_number 1
loop_
_space_group_symop_operation_xyz
'x,y,z'
loop_
_atom_site_label
_atom_site_type_symbol
_atom_site_fract_x
_atom_site_fract_y
_atom_site_fract_z
In1 In 0.009 0.991 0.250
In2 In 0.991 0.009 0.750
Na1 Na 0.747 0.253 0.250
Na2 Na 0.253 0.747 0.750
Pr1 Pr 0.500 0.500 0.000
Pr2 Pr 0.500 0.500 0.500
Se1 Se 0.138 0.862 0.068
Se2 Se 0.413 0.587 0.250
Se3 Se 0.138 0.862 0.432
Se4 Se 0.862 0.138 0.568
Se5 Se 0.587 0.413 0.750
Se6 Se 0.862 0.138 0.932

---

# Tc2TeSe4, optimized geometry, DFT PBE-GGA
# SG = No. 227
data_Tc2TeSe4
_chemical_formula_sum 'Tc4 Te2 Se8'
_cell_length_a 7.795
_cell_length_b 7.795
_cell_length_c 7.795
_cell_angle_alpha 60.00
_cell_angle_beta 60.00
_cell_angle_gamma 60.00
_space_group_name_H-M_alt 'P 1'
_space_group_IT_number 1
loop_
_space_group_symop_operation_xyz
'x,y,z'
loop_
_atom_site_label
_atom_site_type_symbol
_atom_site_fract_x
_atom_site_fract_y
_atom_site_fract_z
Se1 Se 0.898 0.898 0.307
Se2 Se 0.943 0.352 0.352
Se3 Se 0.352 0.943 0.352
Se4 Se 0.352 0.352 0.352
Se5 Se 0.898 0.307 0.898
Se6 Se 0.307 0.898 0.898
Se7 Se 0.898 0.898 0.898
Se8 Se 0.352 0.352 0.943
Tc1 Tc 0.625 0.125 0.125
Tc2 Tc 0.125 0.125 0.125
Tc3 Tc 0.125 0.625 0.125
Tc4 Tc 0.125 0.125 0.625
Te1 Te 0.500 0.500 0.500
Te2 Te 0.750 0.750 0.750

---

# Nd2Y2CBr2F3, optimized geometry, DFT PBE-GGA
# SG = No. 12
data_Nd2Y2CBr2F3
_chemical_formula_sum 'Nd2 Y2 C1 Br2 F3'
_cell_length_a 8.025
_cell_length_b 8.025
_cell_length_c 7.048
_cell_angle_alpha 95.10
_cell_angle_beta 95.10
_cell_angle_gamma 26.69
_space_group_name_H-M_alt 'P 1'
_space_group_IT_number 1
loop_
_space_group_symop_operation_xyz
'x,y,z'
loop_
_atom_site_label
_atom_site_type_symbol
_atom_site_fract_x
_atom_site_fract_y
_atom_site_fract_z
Br1 Br 0.161 0.161 0.395
Br2 Br 0.839 0.839 0.605
C1 C 0.500 0.500 0.000
F1 F 0.810 0.810 0.092
F2 F 0.500 0.500 0.500
F3 F 0.190 0.190 0.908
Nd1 Nd 0.974 0.974 0.238
Nd2 Nd 0.026 0.026 0.762
Y1 Y 0.650 0.650 0.089
Y2 Y 0.350 0.350 0.911

---

# AlInH6Os, optimized geometry, DFT PBE-GGA
# SG = No. 216
data_AlInH6Os
_chemical_formula_sum 'Al1 In1 H6 Os1'
_cell_length_a 4.605
_cell_length_b 4.605
_cell_length_c 4.605
_cell_angle_alpha 60.00
_cell_angle_beta 60.00
_cell_angle_gamma 60.00
_space_group_name_H-M_alt 'P 1'
_space_group_IT_number 1
loop_
_space_group_symop_operation_xyz
'x,y,z'
loop_
_atom_site_label
_atom_site_type_symbol
_atom_site_fract_x
_atom_site_fract_y
_atom_site_fract_z
Al1 Al 0.750 0.750 0.750
H1 H 0.839 0.161 0.161
H2 H 0.161 0.839 0.161
H3 H 0.839 0.839 0.161
H4 H 0.161 0.161 0.839
H5 H 0.839 0.161 0.839
H6 H 0.161 0.839 0.839
In1 In 0.500 0.500 0.500
Os1 Os 0.250 0.250 0.250

---

# KNaTm, optimized geometry, DFT PBE-GGA
# SG = No. 216
# Offset from the most stable computed form = 0.0 meV per atom
data_KNaTm
_chemical_formula_sum 'K1 Na1 Tm1'
_cell_length_a 5.962
_cell_length_b 5.962
_cell_length_c 5.962
_cell_angle_alpha 60.00
_cell_angle_beta 60.00
_cell_angle_gamma 60.00
_space_group_name_H-M_alt 'P 1'
_space_group_IT_number 1
loop_
_space_group_symop_operation_xyz
'x,y,z'
loop_
_atom_site_label
_atom_site_type_symbol
_atom_site_fract_x
_atom_site_fract_y
_atom_site_fract_z
K1 K 0.250 0.250 0.250
Na1 Na 0.750 0.750 0.750
Tm1 Tm 0.000 0.000 0.000

---

Ordered uncorrected energy results: -5.675 -4.276 -5.354 -6.195 -3.261 -1.315; unit eV per atom.
Ordered V results: 181 360 335 203 69 150; unit Å³/cell.